# 1
Compound: AcLu2Pu
Source: Alexandria via LeMat-Bulk
Functional: PBE
Structure: optimized geometry

Cell and atoms, written as CIF:
```
data_AcLu2Pu
_chemical_formula_sum 'Ac1 Lu2 Pu1'
_symmetry_space_group_name_H-M 'P 4/m m m'
_symmetry_Int_Tables_number 123
_symmetry_space_group_name_Hall '-P 4 2'
_cell_length_a 5.7505
_cell_length_b 5.7505
_cell_length_c 3.9648
_cell_angle_alpha 90.00
_cell_angle_beta 90.00
_cell_angle_gamma 90.00
loop_
_atom_site_label
_atom_site_fract_x
_atom_site_fract_y
_atom_site_fract_z
Ac1 0.0000 0.0000 0.0000
Lu1 0.0000 0.5000 0.5000
Pu1 0.5000 0.5000 0.0000
```

Calculated values
The calculation puts the distance to the lowest polymorph of the same formula at 0.078 eV/atom. The value obtained for the formation energy is 226 meV per atom.

---

# 2
Compound: AcLuPu
Source: Alexandria via LeMat-Bulk
Functional: PBE
Structure: optimized geometry

Cell and atoms, written as CIF:
```
data_AcLuPu
_chemical_formula_sum 'Ac2 Lu2 Pu2'
_symmetry_space_group_name_H-M 'I 4 m m'
_symmetry_Int_Tables_number 107
_symmetry_space_group_name_Hall 'I 4 -2'
_cell_length_a 3.6895
_cell_length_b 3.6895
_cell_length_c 14.8207
_cell_angle_alpha 90.00
_cell_angle_beta 90.00
_cell_angle_gamma 90.00
loop_
_atom_site_label
_atom_site_fract_x
_atom_site_fract_y
_atom_site_fract_z
Ac1 0.0000 0.0000 0.0000
Lu1 0.0000 0.0000 0.6761
Pu1 0.0000 0.0000 0.3258
```

Calculated values
The value obtained for the formation energy is 187 meV per atom.

---

# 3
Compound: AcLu2Pu
Source: Alexandria via LeMat-Bulk
Functional: PBE
Structure: optimized geometry

Cell and atoms, written as CIF:
```
data_AcLu2Pu
_chemical_formula_sum 'Ac1 Lu2 Pu1'
_symmetry_space_group_name_H-M 'P 4/m m m'
_symmetry_Int_Tables_number 123
_symmetry_space_group_name_Hall '-P 4 2'
_cell_length_a 3.6455
_cell_length_b 3.6455
_cell_length_c 9.7545
_cell_angle_alpha 90.00
_cell_angle_beta 90.00
_cell_angle_gamma 90.00
loop_
_atom_site_label
_atom_site_fract_x
_atom_site_fract_y
_atom_site_fract_z
Ac1 0.0000 0.0000 0.0000
Lu1 0.5000 0.5000 0.2734
Pu1 0.0000 0.0000 0.5000
```

Calculated values
The calculation puts the distance to the lowest polymorph of the same formula at 0.000 eV/atom. The value obtained for the formation energy is 148 meV per atom.

---

# 4
Compound: AcLuPuTh
Source: Alexandria via LeMat-Bulk
Functional: PBE
Structure: optimized geometry

Cell and atoms, written as CIF:
```
data_AcLuPuTh
_chemical_formula_sum 'Ac4 Lu4 Pu4 Th4'
_symmetry_space_group_name_H-M 'F -4 3 m'
_symmetry_Int_Tables_number 216
_symmetry_space_group_name_Hall 'F -4 2 3'
_cell_length_a 8.1091
_cell_length_b 8.1091
_cell_length_c 8.1091
_cell_angle_alpha 90.00
_cell_angle_beta 90.00
_cell_angle_gamma 90.00
loop_
_atom_site_label
_atom_site_fract_x
_atom_site_fract_y
_atom_site_fract_z
Ac1 0.0000 0.0000 0.0000
Lu1 0.2500 0.2500 0.7500
Pu1 0.0000 0.0000 0.5000
Th1 0.2500 0.2500 0.2500
```

Calculated values
The value obtained for the formation energy is 332 meV per atom.

---

> Which of these has the highest formation energy?

AcLuPuTh